Arrangement w

{"formula": "RbSb2SI", "functional": "GGA-PBE", "state": "optimized geometry", "lattice_angstrom": [[-0.7887, 1.4709, -7.7436], [-6.3821, -4.6862, -0.2402], [-3.9344, 5.2863, 1.4049]], "species": ["I", "Sb", "Sb", "S", "Rb"], "fractional_positions": [[0.0000, 0.0000, 0.5000], [0.0000, 0.5000, 0.0000], [0.5000, 0.0000, 0.0000], [0.5000, 0.5000, 0.5000], [0.0000, 0.0000, 0.0000]]}


Arrangement x

{"formula": "RbSb2SI", "functional": "GGA-PBE", "state": "optimized geometry", "lattice_angstrom": [[5.1757, 0.0000, 0.0000], [0.0000, 5.1757, 0.0000], [0.0000, 0.0000, 8.7939]], "species": ["I", "Sb", "Sb", "S", "Rb"], "fractional_positions": [[0.0000, 0.0000, 0.5000], [0.0000, 0.5000, 0.0000], [0.5000, 0.0000, 0.0000], [0.0000, 0.0000, 0.0000], [0.5000, 0.5000, 0.5000]]}


Most stable one: arrangement x, least stable one: arrangement w.


Arrangement w

{"formula": "Rb2TiSI", "functional": "GGA-PBE", "state": "optimized geometry", "lattice_angstrom": [[-5.3255, 1.2439, 3.7732], [-2.8141, -1.3232, -3.5356], [0.1262, -6.2539, 2.2400]], "species": ["I", "S", "Rb", "Rb", "Ti"], "fractional_positions": [[0.5000, 0.5000, 0.5000], [0.0000, 0.0000, 0.0000], [0.0000, 0.0000, 0.5000], [0.5000, 0.0000, 0.0000], [0.0000, 0.5000, 0.0000]]}


Arrangement x

{"formula": "Rb2TiSI", "functional": "GGA-PBE", "state": "optimized geometry", "lattice_angstrom": [[6.6800, 0.0000, 0.0000], [0.0000, 5.1823, 0.0000], [0.0000, 0.0000, 6.6800]], "species": ["I", "S", "Rb", "Rb", "Ti"], "fractional_positions": [[0.0000, 0.5000, 0.0000], [0.5000, 0.5000, 0.5000], [0.0000, 0.0000, 0.5000], [0.5000, 0.0000, 0.0000], [0.0000, 0.0000, 0.0000]]}


Most stable one: arrangement w, least stable one: arrangement x.


Arrangement w

{"formula": "RbSbI2", "functional": "GGA-PBE", "state": "optimized geometry", "lattice_angstrom": [[-1.4939, 6.0109, 2.6476], [0.4103, -2.6245, 6.1900], [8.8923, 3.9010, 4.7295]], "species": ["I", "I", "I", "I", "Sb", "Sb", "Rb", "Rb"], "fractional_positions": [[0.7096, 0.1250, 0.2500], [0.0404, 0.6250, 0.2500], [0.3750, 0.2904, 0.7500], [0.8750, 0.9596, 0.7500], [0.0000, 0.0000, 0.0000], [0.7500, 0.2500, 0.5000], [0.5000, 0.5000, 0.0000], [0.2500, 0.7500, 0.5000]]}


Arrangement x

{"formula": "RbSbI2", "functional": "GGA-PBE", "state": "optimized geometry", "lattice_angstrom": [[0.0000, 4.3062, 4.3062], [4.3062, 0.0000, 4.3062], [4.3062, 4.3062, 0.0000]], "species": ["I", "I", "Sb", "Rb"], "fractional_positions": [[0.2500, 0.2500, 0.2500], [0.7500, 0.7500, 0.7500], [0.5000, 0.5000, 0.5000], [0.0000, 0.0000, 0.0000]]}


Arrangement y

{"formula": "RbSbI2", "functional": "GGA-PBE", "state": "optimized geometry", "lattice_angstrom": [[-2.6635, 2.1842, 4.1542], [1.3600, -1.2964, 5.0589], [5.6448, 7.3698, 3.2495]], "species": ["I", "I", "Sb", "Rb"], "fractional_positions": [[0.1227, 0.1227, 0.6319], [0.8773, 0.8773, 0.3681], [0.5000, 0.5000, 0.5000], [0.0000, 0.0000, 0.0000]]}


Most stable one: arrangement w, least stable one: arrangement y.


Arrangement w

{"formula": "Rb2SbI5", "functional": "GGA-PBE", "state": "optimized geometry", "lattice_angstrom": [[8.8782, -0.0003, -0.0003], [-0.0001, 8.8782, -0.0003], [-4.4388, -4.4388, 5.2056]], "species": ["Rb", "Rb", "Sb", "I", "I", "I", "I", "I"], "fractional_positions": [[0.2566, 0.7566, 0.5131], [0.7566, 0.2566, 0.5131], [0.9984, 0.9984, 0.9968], [0.7660, 0.2501, 0.0161], [0.2501, 0.2501, 0.0161], [0.7660, 0.7660, 0.0161], [0.2501, 0.7659, 0.0161], [0.7333, 0.7333, 0.4667]]}


Arrangement x

{"formula": "Rb2SbI5", "functional": "GGA-PBE", "state": "optimized geometry", "lattice_angstrom": [[6.5589, -0.0168, -2.8146], [-4.2948, 7.5508, -0.9491], [0.2246, 0.3988, 9.5894]], "species": ["Rb", "Rb", "Sb", "I", "I", "I", "I", "I"], "fractional_positions": [[0.5387, 0.6994, 0.2729], [0.6206, 0.3550, 0.7816], [0.1032, 0.0277, 0.0277], [0.9931, 0.7162, 0.1640], [0.3149, 0.2697, 0.3509], [0.7561, 0.7846, 0.7036], [0.1675, 0.3387, 0.8909], [0.5057, 0.0316, 0.0315]]}


Most stable one: arrangement w, least stable one: arrangement x.


Arrangement w

{"formula": "Rb3Sb2I9", "functional": "GGA-PBE", "state": "optimized geometry", "lattice_angstrom": [[-0.9123, -8.0359, 2.3129], [2.5907, -4.3415, -14.0619], [23.5308, -5.6929, -10.4974]], "species": ["Rb", "Rb", "Rb", "Rb", "Rb", "Rb", "Rb", "Rb", "Rb", "Rb", "Rb", "Rb", "Sb", "Sb", "Sb", "Sb", "Sb", "Sb", "Sb", "Sb", "I", "I", "I", "I", "I", "I", "I", "I", "I", "I", "I", "I", "I", "I", "I", "I", "I", "I", "I", "I", "I", "I", "I", "I", "I", "I", "I", "I", "I", "I", "I", "I", "I", "I", "I", "I"], "fractional_positions": [[0.5228, 0.7527, 0.7759], [0.9772, 0.7527, 0.2759], [0.4772, 0.2473, 0.2241], [0.0228, 0.2473, 0.7241], [0.5214, 0.7494, 0.4403], [0.9786, 0.7494, 0.9403], [0.4786, 0.2506, 0.5597], [0.0214, 0.2506, 0.0597], [0.4751, 0.2520, 0.8913], [0.0249, 0.2520, 0.3913], [0.5249, 0.7480, 0.1087], [0.9751, 0.7480, 0.6087], [0.5091, 0.0065, 0.1601], [0.9909, 0.0065, 0.6601], [0.4909, 0.9935, 0.8399], [0.0091, 0.9935, 0.3399], [0.4961, 0.5085, 0.6602], [0.0039, 0.5085, 0.1602], [0.5039, 0.4915, 0.3398], [0.9961, 0.4915, 0.8398], [0.0871, 0.7492, 0.7457], [0.4129, 0.7492, 0.2457], [0.9129, 0.2508, 0.2543], [0.5871, 0.2508, 0.7543], [0.0758, 0.7556, 0.4138], [0.4242, 0.7556, 0.9138], [0.9242, 0.2444, 0.5862], [0.5758, 0.2444, 0.0862], [0.9233, 0.2545, 0.9185], [0.5767, 0.2545, 0.4185], [0.0767, 0.7455, 0.0815], [0.4233, 0.7455, 0.5815], [0.8101, 0.9643, 0.4395], [0.6899, 0.9643, 0.9395], [0.1899, 0.0357, 0.5605], [0.3101, 0.0357, 0.0605], [0.8046, 0.5323, 0.9168], [0.6954, 0.5323, 0.4168], [0.1954, 0.4677, 0.0832], [0.3046, 0.4677, 0.5832], [0.7919, 0.9612, 0.1148], [0.7081, 0.9612, 0.6148], [0.2081, 0.0388, 0.8852], [0.2919, 0.0388, 0.3852], [0.7837, 0.5425, 0.5882], [0.7163, 0.5425, 0.0882], [0.2163, 0.4575, 0.4118], [0.2837, 0.4575, 0.9118], [0.8025, 0.9569, 0.7812], [0.6975, 0.9569, 0.2812], [0.1975, 0.0431, 0.2188], [0.3025, 0.0431, 0.7188], [0.8119, 0.5442, 0.2535], [0.6881, 0.5442, 0.7535], [0.1881, 0.4558, 0.7465], [0.3119, 0.4558, 0.2465]]}


Arrangement x

{"formula": "Rb3Sb2I9", "functional": "GGA-PBE", "state": "optimized geometry", "lattice_angstrom": [[8.4427, 0.0000, 0.0000], [-4.2214, 7.3116, 0.0000], [0.0000, 0.0000, 21.7741]], "species": ["Rb", "Rb", "Rb", "Rb", "Rb", "Rb", "Sb", "Sb", "Sb", "Sb", "I", "I", "I", "I", "I", "I", "I", "I", "I", "I", "I", "I", "I", "I", "I", "I", "I", "I"], "fractional_positions": [[0.0000, 0.0000, 0.7500], [0.0000, 0.0000, 0.2500], [0.6667, 0.3333, 0.9398], [0.3333, 0.6667, 0.0602], [0.3333, 0.6667, 0.4398], [0.6667, 0.3333, 0.5602], [0.6667, 0.3333, 0.1580], [0.3333, 0.6667, 0.8420], [0.3333, 0.6667, 0.6580], [0.6667, 0.3333, 0.3420], [0.5026, 0.0052, 0.7500], [0.9948, 0.4974, 0.7500], [0.5026, 0.4974, 0.7500], [0.4974, 0.9948, 0.2500], [0.0052, 0.5026, 0.2500], [0.4974, 0.5026, 0.2500], [0.1661, 0.3321, 0.9165], [0.6679, 0.8339, 0.9165], [0.1661, 0.8339, 0.9165], [0.8339, 0.6679, 0.0835], [0.3321, 0.1661, 0.0835], [0.8339, 0.1661, 0.0835], [0.8339, 0.6679, 0.4165], [0.3321, 0.1661, 0.4165], [0.8339, 0.1661, 0.4165], [0.1661, 0.3321, 0.5835], [0.6679, 0.8339, 0.5835], [0.1661, 0.8339, 0.5835]]}


Most stable one: arrangement w, least stable one: arrangement x.


Arrangement w

{"formula": "RbSb2SeI", "functional": "GGA-PBE", "state": "optimized geometry", "lattice_angstrom": [[7.6840, 0.0000, 0.0000], [0.0000, 7.6840, 0.0000], [0.0000, 0.0000, 6.6759]], "species": ["I", "Sb", "Sb", "Se", "Rb"], "fractional_positions": [[0.0000, 0.0000, 0.5000], [0.0000, 0.5000, 0.0000], [0.5000, 0.0000, 0.0000], [0.5000, 0.5000, 0.5000], [0.0000, 0.0000, 0.0000]]}


Arrangement x

{"formula": "RbSb2SeI", "functional": "GGA-PBE", "state": "optimized geometry", "lattice_angstrom": [[5.3664, 0.0000, 0.0000], [0.0000, 5.3664, 0.0000], [0.0000, 0.0000, 8.8503]], "species": ["I", "Sb", "Sb", "Se", "Rb"], "fractional_positions": [[0.0000, 0.0000, 0.5000], [0.0000, 0.5000, 0.0000], [0.5000, 0.0000, 0.0000], [0.0000, 0.0000, 0.0000], [0.5000, 0.5000, 0.5000]]}


Most stable one: arrangement x, least stable one: arrangement w.


Arrangement w

{"formula": "RbSrSb2I", "functional": "GGA-PBE", "state": "optimized geometry", "lattice_angstrom": [[6.3338, 0.0000, 0.0000], [0.0000, 6.3338, 0.0000], [0.0000, 0.0000, 6.5008]], "species": ["I", "Sb", "Sb", "Rb", "Sr"], "fractional_positions": [[0.0000, 0.0000, 0.5000], [0.0000, 0.5000, 0.0000], [0.5000, 0.0000, 0.0000], [0.5000, 0.5000, 0.5000], [0.0000, 0.0000, 0.0000]]}


Arrangement x

{"formula": "RbSrSb2I", "functional": "GGA-PBE", "state": "optimized geometry", "lattice_angstrom": [[6.0406, 0.0000, 0.0000], [0.0000, 6.0406, 0.0000], [0.0000, 0.0000, 6.4223]], "species": ["I", "Sb", "Sb", "Rb", "Sr"], "fractional_positions": [[0.0000, 0.0000, 0.5000], [0.0000, 0.5000, 0.0000], [0.5000, 0.0000, 0.0000], [0.0000, 0.0000, 0.0000], [0.5000, 0.5000, 0.5000]]}


Most stable one: arrangement w, least stable one: arrangement x.


Arrangement w

{"formula": "RbSrSbI2", "functional": "GGA-PBE", "state": "optimized geometry", "lattice_angstrom": [[6.4820, 0.0000, 0.0000], [0.0000, 6.4820, 0.0000], [0.0000, 0.0000, 6.6063]], "species": ["I", "I", "Sb", "Rb", "Sr"], "fractional_positions": [[0.0000, 0.5000, 0.0000], [0.5000, 0.0000, 0.0000], [0.0000, 0.0000, 0.5000], [0.5000, 0.5000, 0.5000], [0.0000, 0.0000, 0.0000]]}


Arrangement x

{"formula": "RbSrSbI2", "functional": "GGA-PBE", "state": "optimized geometry", "lattice_angstrom": [[6.4103, 0.0000, 0.0000], [0.0000, 6.4103, 0.0000], [0.0000, 0.0000, 6.2987]], "species": ["I", "I", "Sb", "Rb", "Sr"], "fractional_positions": [[0.0000, 0.5000, 0.0000], [0.5000, 0.0000, 0.0000], [0.0000, 0.0000, 0.5000], [0.0000, 0.0000, 0.0000], [0.5000, 0.5000, 0.5000]]}


Most stable one: arrangement w, least stable one: arrangement x.


Arrangement w

{"formula": "RbTaSb2I", "functional": "GGA-PBE", "state": "optimized geometry", "lattice_angstrom": [[-0.3471, -0.8867, 5.2812], [-3.7020, -3.7844, -0.8787], [4.4478, -4.2531, -0.4217]], "species": ["I", "Sb", "Sb", "Rb", "Ta"], "fractional_positions": [[0.0000, 0.0000, 0.5000], [0.0000, 0.5000, 0.0000], [0.5000, 0.0000, 0.0000], [0.5000, 0.5000, 0.5000], [0.0000, 0.0000, 0.0000]]}


Arrangement x

{"formula": "RbTaSb2I", "functional": "GGA-PBE", "state": "optimized geometry", "lattice_angstrom": [[-2.2396, -3.1368, 4.5456], [5.1954, 0.4672, 2.8822], [-1.9209, 5.1737, 2.6239]], "species": ["I", "Sb", "Sb", "Rb", "Ta"], "fractional_positions": [[0.0000, 0.0000, 0.5000], [0.0000, 0.5000, 0.0000], [0.5000, 0.0000, 0.0000], [0.0000, 0.0000, 0.0000], [0.5000, 0.5000, 0.5000]]}


Most stable one: arrangement w, least stable one: arrangement x.


Arrangement w

{"formula": "RbSb2TeI", "functional": "GGA-PBE", "state": "optimized geometry", "lattice_angstrom": [[5.9543, 0.0000, 0.0000], [0.0000, 5.9543, 0.0000], [0.0000, 0.0000, 6.1937]], "species": ["I", "Sb", "Sb", "Te", "Rb"], "fractional_positions": [[0.0000, 0.0000, 0.0000], [0.0000, 0.5000, 0.0000], [0.5000, 0.0000, 0.0000], [0.0000, 0.0000, 0.5000], [0.5000, 0.5000, 0.5000]]}


Arrangement x

{"formula": "RbSb2TeI", "functional": "GGA-PBE", "state": "optimized geometry", "lattice_angstrom": [[-1.0061, -3.8282, 5.7624], [-0.7880, -5.7218, -3.9388], [6.4523, -1.1419, 0.3679]], "species": ["I", "Sb", "Sb", "Te", "Rb"], "fractional_positions": [[0.5000, 0.5000, 0.5000], [0.0000, 0.5000, 0.0000], [0.5000, 0.0000, 0.0000], [0.0000, 0.0000, 0.5000], [0.0000, 0.0000, 0.0000]]}


Most stable one: arrangement w, least stable one: arrangement x.


Arrangement w

{"formula": "RbSb2TeI", "functional": "GGA-PBE", "state": "optimized geometry", "lattice_angstrom": [[7.3095, 0.0000, 0.0000], [0.0000, 7.3095, 0.0000], [0.0000, 0.0000, 6.5414]], "species": ["I", "Sb", "Sb", "Te", "Rb"], "fractional_positions": [[0.0000, 0.0000, 0.5000], [0.0000, 0.5000, 0.0000], [0.5000, 0.0000, 0.0000], [0.5000, 0.5000, 0.5000], [0.0000, 0.0000, 0.0000]]}


Arrangement x

{"formula": "RbSb2TeI", "functional": "GGA-PBE", "state": "optimized geometry", "lattice_angstrom": [[-3.2886, 4.4087, 1.4526], [-4.4541, -2.4960, -2.5084], [-1.9111, -3.7845, 7.1594]], "species": ["I", "Sb", "Sb", "Te", "Rb"], "fractional_positions": [[0.0000, 0.0000, 0.5000], [0.0000, 0.5000, 0.0000], [0.5000, 0.0000, 0.0000], [0.0000, 0.0000, 0.0000], [0.5000, 0.5000, 0.5000]]}


Most stable one: arrangement x, least stable one: arrangement w.